i) 4
Lattice="-3.8135 -2.6954 1.1020 3.9609 -2.5730 -0.8448 0.6492 0.1452 2.6018" Properties=species:S:1:pos:R:3 comment="CoAgOs2, optimized geometry, DFT PBE" n_ef_per_ev_cell=5.55 crystal_system=orthorhombic spacegroup="Cmmm (65)" pbc="T T T"
Co 2.3051 -1.2139 0.8785
Ag -1.5821 -1.2751 1.8519
Os 0.0737 -2.6342 0.1286
Os 0.0000 0.0000 0.0000


ii) 4
Lattice="4.2352 0.0000 0.0000 0.0000 2.6941 0.0054 0.0000 1.5251 5.0787" Properties=species:S:1:pos:R:3 comment="CoAgOs2, optimized geometry, DFT PBE" n_ef_per_ev_cell=5.87 crystal_system=monoclinic spacegroup="P2/m (10)" pbc="T T T"
Os 0.0000 3.9051 4.9599
Os 0.0000 2.4238 2.6664
Ag 2.1176 1.0548 1.2710
Co 2.1176 3.1644 3.8131


We find ii) to be the most stable, with the next structure 4.3 kJ/mol of atoms higher.


i) 4
Lattice="-1.6179 -0.7204 -2.0797 -0.6433 -2.3137 1.3019 -5.8853 3.5256 3.3571" Properties=species:S:1:pos:R:3 comment="CoAgOs2, optimized geometry, DFT PBE" n_ef_per_ev_cell=4.47 crystal_system=tetragonal spacegroup="P4mm (99)" pbc="T T T"
Os -2.4703 -0.7145 0.3753
Os -5.8196 3.4863 3.3196
Ag -3.0205 1.8094 1.7230
Co -5.6642 1.1988 2.1971


ii) 4
Lattice="-2.1949 -0.4388 3.8793 3.4230 -2.3563 1.6702 1.1916 2.4015 0.9459" Properties=species:S:1:pos:R:3 comment="CoAgOs2, optimized geometry, DFT PBE" n_ef_per_ev_cell=4.64 crystal_system=tetragonal spacegroup="P4/mmm (123)" pbc="T T T"
Os 0.6141 -1.3976 2.7747
Os 0.0000 0.0000 0.0000
Ag -0.5016 0.9813 2.4126
Co 2.3073 0.0226 1.3080


We find i) to be the most stable, with the next structure 53.5 kJ/mol of atoms higher.


i) 4
Lattice="4.3448 0.0000 0.0000 2.1724 3.7627 0.0000 2.1724 1.2542 3.5476" Properties=species:S:1:pos:R:3 comment="CoAgOs2, optimized geometry, DFT PBE" n_ef_per_ev_cell=3.34 crystal_system=cubic spacegroup="F-43m (216)" pbc="T T T"
Os 2.1724 1.2542 0.8869
Os 0.0000 0.0000 0.0000
Co 6.5173 3.7627 2.6607
Ag 4.3448 2.5085 1.7738


ii) 4
Lattice="-2.7807 2.0190 -2.0234 0.3020 -2.4431 -2.8527 -2.6839 -2.1424 1.5507" Properties=species:S:1:pos:R:3 comment="CoAgOs2, optimized geometry, DFT PBE" n_ef_per_ev_cell=6.74 crystal_system=tetragonal spacegroup="P4/mmm (123)" pbc="T T T"
Co -2.7323 -0.0617 -0.2364
Ag -1.2394 -0.2120 -2.4381
Os -1.1910 -2.2928 -0.6510
Os 0.0000 0.0000 0.0000


We find i) to be the most stable, with the next structure 1.8 kJ/mol of atoms higher.